This record from the Alexandria database describes crystalline PmGeF at its relaxed geometry. The functional is PBE.

Results
E_form (uncorrected): -5.95 eV per formula unit
Volume: 126.9 Å³/cell
Magnetic moment: 0.000 μB per formula unit
Offset from the most stable computed form: 40 meV/atom

Unit cell a=4.199 b=4.060 c=7.451 alpha=90.00 beta=92.75 gamma=90.00
Space group P2_1/m (No. 11)
Asymmetric unit:
Pm  0.230  0.250  0.293 x2
Ge  0.297  0.750  0.993 x2
F  0.247  0.750  0.490 x2